A plane-wave DFT calculation with GGA+U was carried out for a geometry-optimized LiMnSiO4 structure.

Values from the calculation:
V = 342.7 Å³/cell
Distance to the lowest polymorph of the same formula = 73.4 meV/atom
Energy = -7.11 eV/atom
Magnetic moment = 4.00 μB per formula unit
Crystal system = triclinic

```
data_LiMnSiO4
_space_group_name_H-M_alt 'P -1'
_space_group_IT_number 2
_cell_length_a 5.938
_cell_length_b 6.306
_cell_length_c 9.548
_cell_angle_alpha 77.04
_cell_angle_beta 86.88
_cell_angle_gamma 79.60
loop_
_space_group_symop_operation_xyz
'x,y,z'
'-x,-y,-z'
loop_
_atom_site_label
_atom_site_fract_x
_atom_site_fract_y
_atom_site_fract_z
_atom_site_occupancy
Li1 0.073 0.374 0.240 1
Li2 0.077 0.870 0.169 1
Mn1 0.305 0.133 0.577 1
Mn2 0.500 0.435 0.778 1
Si1 0.212 0.673 0.499 1
Si2 0.363 0.789 0.885 1
O1 0.044 0.244 0.446 1
O2 0.222 0.659 0.329 1
O3 0.231 0.589 0.854 1
O4 0.241 0.028 0.785 1
O5 0.315 0.428 0.606 1
O6 0.341 0.801 0.053 1
O7 0.378 0.846 0.527 1
O8 0.382 0.304 0.176 1
```